1.
PBE-GGA Al2GeSe4, relaxed; formation energy from raw total energies = -0.56 eV per atom; SG = I4/m (87)
1.0
-3.882 3.882 3.147
3.882 -3.882 3.147
3.882 3.882 -3.147
Al Ge Se
2 1 4
Cartesian
3.882 0.000 1.573
0.000 3.882 1.573
0.000 0.000 0.000
5.228 1.268 0.000
1.268 2.536 0.000
2.614 1.346 3.147
-1.346 2.614 3.147



2.
PBE-GGA Al3GeSe, relaxed; formation energy from raw total energies = 0.46 eV per atom; SG = Pm-3m (221); energy above the lowest structure with this stoichiometry = 0.0 meV per atom
1.0
4.923 0.000 0.000
0.000 4.923 0.000
0.000 0.000 4.923
Al Ge Se
3 1 1
Cartesian
0.000 0.000 2.461
0.000 2.461 0.000
2.461 0.000 0.000
0.000 0.000 0.000
2.461 2.461 2.461



3.
PBE-GGA AlGeSe, relaxed; formation energy from raw total energies = -0.07 eV per atom; SG = C2/m (12)
1.0
8.173 -2.346 0.000
8.173 2.346 0.000
-0.241 0.000 4.417
Al Ge Se
2 2 2
Cartesian
2.634 0.000 0.415
13.471 0.000 4.002
3.828 0.000 2.737
12.277 0.000 1.680
6.244 0.000 3.454
9.860 0.000 0.963



4.
PBE-GGA AlGeSe4, relaxed; formation energy from raw total energies = -0.37 eV per atom; SG = P-42c (112)
1.0
5.733 0.000 0.000
0.000 5.733 0.000
0.000 0.000 9.833
Al Ge Se
2 2 8
Cartesian
0.000 0.000 0.000
0.000 0.000 4.916
0.000 2.867 2.458
2.867 0.000 7.375
1.478 1.500 8.634
1.478 4.233 6.115
1.500 1.478 3.718
1.500 4.255 1.198
4.233 1.478 1.198
4.233 4.255 3.718
4.255 1.500 6.115
4.255 4.233 8.634



5.
PBE-GGA AlGe2Se4, relaxed; formation energy from raw total energies = -0.05 eV per atom; SG = I4/m (87)
1.0
-3.969 3.969 3.143
3.969 -3.969 3.143
3.969 3.969 -3.143
Al Ge Se
1 2 4
Cartesian
0.000 0.000 0.000
3.969 0.000 1.571
0.000 3.969 1.571
5.205 1.459 0.000
1.459 2.732 0.000
2.509 1.237 3.143
-1.237 2.509 3.143



6.
PBE-GGA AlGeSe2, relaxed; formation energy from raw total energies = -0.31 eV per atom; SG = R-3m (166)
1.0
1.802 1.040 8.406
-1.802 1.040 8.406
0.000 -2.081 8.406
Al Ge Se
1 1 2
Cartesian
0.000 0.000 0.000
0.000 0.000 12.610
0.000 0.000 9.859
0.000 0.000 15.361



7.
PBE-GGA AlGeSe2, relaxed; formation energy from raw total energies = -0.20 eV per atom; SG = I-42d (122)
1.0
-3.380 3.380 4.452
3.380 -3.380 4.452
3.380 3.380 -4.452
Al Ge Se
2 2 4
Cartesian
0.000 0.000 0.000
0.000 3.380 2.226
3.380 0.000 2.226
0.000 0.000 4.452
5.070 1.408 -1.113
1.408 1.690 1.113
-1.690 1.973 3.339
1.973 1.690 5.565



8.
PBE-GGA Al2SnGeSe, relaxed; formation energy from raw total energies = 0.44 eV per atom; SG = P4/mmm (123)
1.0
4.933 0.000 0.000
0.000 4.933 0.000
0.000 0.000 5.445
Al Sn Ge Se
2 1 1 1
Cartesian
0.000 2.466 0.000
2.466 0.000 0.000
0.000 0.000 2.723
0.000 0.000 0.000
2.466 2.466 2.723



9.
PBE-GGA Th4AlGeSe2, relaxed; formation energy from raw total energies = -0.99 eV per atom; SG = P2/m (10)
1.0
7.316 0.000 0.000
0.000 4.314 0.000
-2.551 0.000 7.080
Th Al Ge Se
4 1 1 2
Cartesian
1.150 0.000 1.737
-0.120 2.157 5.320
4.885 2.157 1.760
3.615 0.000 5.343
-1.276 0.000 3.540
0.000 2.157 0.000
3.658 0.000 0.000
2.382 2.157 3.540



10.
PBE-GGA ThAlGeSe, relaxed; formation energy from raw total energies = -0.82 eV per atom; SG = R-3m (166)
1.0
2.171 1.254 13.126
-2.171 1.254 13.126
0.000 -2.507 13.126
Th Al Ge Se
2 2 2 2
Cartesian
0.000 0.000 3.412
0.000 0.000 35.967
0.000 0.000 12.142
0.000 0.000 27.236
0.000 0.000 14.690
0.000 0.000 24.689
0.000 0.000 8.206
0.000 0.000 31.173



11.
PBE-GGA Al2TlGeSe6, relaxed; formation energy from raw total energies = -0.43 eV per atom; SG = C2/c (15)
1.0
6.820 -6.631 0.000
6.820 6.631 0.000
-4.066 0.000 6.973
Al Tl Ge Se
4 2 2 12
Cartesian
2.209 1.005 0.487
0.175 -1.005 3.974
9.399 1.005 2.999
7.366 -1.005 6.485
3.771 2.021 5.229
5.804 -2.021 1.743
5.804 2.280 1.743
3.771 -2.280 5.229
0.381 0.562 2.175
1.221 3.321 6.638
-1.652 -0.562 5.661
3.896 0.800 2.183
6.320 3.321 3.820
1.863 -0.800 5.670
7.711 0.800 1.303
3.255 -3.321 3.152
5.678 -0.800 4.789
11.227 0.562 1.312
8.353 -3.321 0.334
9.193 -0.562 4.798



12.
PBE-GGA UAlGeSe, relaxed; formation energy from raw total energies = -0.40 eV per atom; SG = P4/nmm (129)
1.0
4.385 0.000 0.000
0.000 4.385 0.000
0.000 0.000 8.655
U Al Ge Se
2 2 2 2
Cartesian
1.096 1.096 1.875
3.289 3.289 6.780
1.096 3.289 4.328
3.289 1.096 4.328
1.096 1.096 5.839
3.289 3.289 2.817
1.096 3.289 0.000
3.289 1.096 0.000



13.
PBE-GGA AlSiGe, relaxed; formation energy from raw total energies = 0.28 eV per atom; SG = Fddd (70)
1.0
0.000 4.521 8.016
3.100 0.000 8.016
3.100 4.521 0.000
Al Si Ge
4 4 4
Cartesian
2.325 3.391 0.802
3.875 5.652 4.810
2.325 3.391 11.222
3.875 5.652 15.230
4.241 3.391 6.012
5.791 5.652 10.020
0.409 3.391 6.012
1.959 5.652 10.020
3.100 2.261 4.008
1.550 4.521 4.008
1.550 2.261 8.016
3.100 4.521 8.016



14.
PBE-GGA Al2Si2Ge, relaxed; formation energy from raw total energies = 0.23 eV per atom; SG = P4/mbm (127)
1.0
7.704 0.000 0.000
0.000 7.704 0.000
0.000 0.000 2.811
Al Si Ge
4 4 2
Cartesian
1.073 2.779 0.000
2.779 6.631 0.000
4.925 1.073 0.000
6.631 4.925 0.000
1.218 5.070 1.405
2.634 1.218 1.405
5.070 6.486 1.405
6.486 2.634 1.405
0.000 0.000 1.405
3.852 3.852 1.405



15.
PBE-GGA AlSi3Ge, relaxed; formation energy from raw total energies = 0.96 eV per atom; SG = Pm-3m (221); energy above the lowest structure with this stoichiometry = 0.0 meV per atom
1.0
4.736 0.000 0.000
0.000 4.736 0.000
0.000 0.000 4.736
Al Si Ge
1 3 1
Cartesian
0.000 0.000 0.000
0.000 0.000 2.368
0.000 2.368 0.000
2.368 0.000 0.000
2.368 2.368 2.368



16.
PBE-GGA AlSiGe3, relaxed; formation energy from raw total energies = 0.69 eV per atom; SG = Pm-3m (221); energy above the lowest structure with this stoichiometry = 0.0 meV per atom
1.0
4.790 0.000 0.000
0.000 4.790 0.000
0.000 0.000 4.790
Al Si Ge
1 1 3
Cartesian
0.000 0.000 0.000
2.395 2.395 2.395
0.000 2.395 2.395
2.395 0.000 2.395
2.395 2.395 0.000



17.
PBE-GGA Sm2AlSiGe, relaxed; formation energy from raw total energies = -0.52 eV per atom; SG = P2_1/m (11)
1.0
7.298 0.000 0.000
0.000 4.090 0.000
-2.681 0.000 8.244
Sm Al Si Ge
4 2 2 2
Cartesian
0.102 1.022 3.383
-0.690 1.022 7.955
5.307 3.067 0.289
4.515 3.067 4.861
2.820 3.067 2.271
1.797 1.022 5.972
0.285 3.067 5.796
4.332 1.022 2.447
0.606 3.067 1.390
4.011 1.022 6.853



18.
PBE-GGA Th2AlSiGe, relaxed; formation energy from raw total energies = -0.45 eV per atom; SG = P2_1/m (11)
1.0
7.413 0.000 0.000
0.000 4.066 0.000
-3.179 0.000 8.427
Th Al Si Ge
4 2 2 2
Cartesian
-0.064 1.016 3.447
-1.103 1.016 8.135
5.338 3.049 0.292
4.298 3.049 4.979
2.842 3.049 2.251
1.393 1.016 6.176
-0.156 3.049 5.900
4.390 1.016 2.526
0.586 3.049 1.385
3.648 1.016 7.041



19.
PBE-GGA UAlSiGe, relaxed; formation energy from raw total energies = -0.31 eV per atom; SG = Pmmm (47)
1.0
3.945 0.000 0.000
0.000 4.218 0.000
0.000 0.000 4.287
U Al Si Ge
1 1 1 1
Cartesian
0.000 0.000 0.000
0.000 2.109 2.143
1.973 2.109 0.000
1.973 0.000 2.143



20.
PBE-GGA AlZnSi2Ge, relaxed; formation energy from raw total energies = 0.96 eV per atom; SG = P4/mmm (123)
1.0
4.784 0.000 0.000
0.000 4.784 0.000
0.000 0.000 4.899
Al Zn Si Ge
1 1 2 1
Cartesian
0.000 0.000 0.000
2.392 2.392 0.000
0.000 2.392 2.450
2.392 0.000 2.450
0.000 0.000 2.450



21.
PBE-GGA ZrAlSi2Ge, relaxed; formation energy from raw total energies = 0.94 eV per atom; SG = P4/mmm (123)
1.0
5.045 0.000 0.000
0.000 5.045 0.000
0.000 0.000 5.209
Zr Al Si Ge
1 1 2 1
Cartesian
0.000 0.000 0.000
0.000 0.000 2.605
0.000 2.523 0.000
2.523 0.000 0.000
2.523 2.523 2.605



22.
PBE-GGA Sm4AlGe2, relaxed; formation energy from the elements = -3.34 eV per formula unit; SG = R-3m (166)
1.0
2.421 1.398 9.891
-2.421 1.398 9.891
0.000 -2.795 9.891
Sm Al Ge
4 1 2
Cartesian
0.000 0.000 3.569
0.000 0.000 8.756
0.000 0.000 20.917
0.000 0.000 26.103
0.000 0.000 14.836
0.000 0.000 11.965
0.000 0.000 17.707



23.
PBE-GGA SmAlGe2, relaxed; formation energy from the elements = -1.67 eV per formula unit; SG = P4/mmm (123)
1.0
4.482 0.000 0.000
0.000 4.482 0.000
0.000 0.000 4.105
Sm Al Ge
1 1 2
Cartesian
0.000 0.000 0.000
2.241 2.241 0.000
0.000 2.241 2.053
2.241 0.000 2.053



24.
PBE-GGA SmAlGe2, relaxed; formation energy from the elements = -1.76 eV per formula unit; SG = P4_2mc (105)
1.0
4.104 0.000 0.000
0.000 4.104 0.000
0.000 0.000 10.033
Sm Al Ge
2 2 4
Cartesian
0.000 0.000 0.000
0.000 0.000 5.017
0.000 2.052 2.665
2.052 0.000 7.681
0.000 2.052 7.687
2.052 0.000 2.670
2.052 2.052 0.843
2.052 2.052 5.860